Entry 1:
A relaxed structure of K2ZnPtN. Source: Alexandria via LeMat-Bulk, functional GGA-PBE.

* SG: P4/mmm, No. 123
* DFT total energy: -3.60 eV/atom
* formation energy (no corrections): -35 meV/atom

Cell lengths 5.953, 5.953, 3.754 Å; angles 90.00, 90.00, 90.00 degrees
Positions (direct):
Zn  0.500  0.500  0.500
K  0.000  0.500  0.000
K  0.500  0.000  0.000
Pt  0.000  0.000  0.500
N  0.000  0.000  0.000



Entry 2:
A relaxed structure of Zn2BiPb. Source: Alexandria via LeMat-Bulk, functional GGA-PBE.

* E above lowest polymorph: 0.051 eV/atom
* formation enthalpy at 0 K: 219 meV per atom
* SG: I-42d, No. 122
* DFT total energy: -2.32 eV/atom

Cell lengths 7.948, 7.948, 6.497 Å; angles 52.29, 52.29, 90.00 degrees
Positions (direct):
Pb  0.500  0.500  0.000
Pb  0.250  0.750  0.500
Zn  0.633  0.125  0.250
Zn  0.117  0.625  0.250
Zn  0.375  0.367  0.750
Zn  0.875  0.883  0.750
Bi  0.000  0.000  0.000
Bi  0.750  0.250  0.500



Entry 3:
A relaxed structure of La4GeSb2Cl. Source: Alexandria via LeMat-Bulk, functional GGA-PBE.

* SG: P2/m, No. 10
* DFT total energy: -5.60 eV/atom
* formation energy (no corrections): -1298 meV/atom

Cell lengths 4.516, 7.754, 7.744 Å; angles 70.66, 90.00, 90.00 degrees
Positions (direct):
La  0.000  0.745  0.741
La  0.000  0.255  0.259
La  0.500  0.737  0.260
La  0.500  0.263  0.740
Ge  0.000  0.500  0.500
Sb  0.000  0.000  0.000
Sb  0.500  0.000  0.500
Cl  0.500  0.500  0.000



Entry 4:
A relaxed structure of Ta2IrF2. Source: Alexandria via LeMat-Bulk, functional GGA-PBE.

* E above lowest polymorph: 0.000 eV/atom
* SG: P4/mbm, No. 127
* DFT total energy: -7.92 eV/atom
* formation energy (no corrections): -655 meV/atom

Cell lengths 7.237, 7.237, 2.781 Å; angles 90.00, 90.00, 90.00 degrees
Positions (direct):
F  0.398  0.898  0.000
F  0.898  0.602  0.000
F  0.602  0.102  0.000
F  0.102  0.398  0.000
Ir  0.000  0.000  0.000
Ir  0.500  0.500  0.000
Ta  0.243  0.743  0.500
Ta  0.743  0.757  0.500
Ta  0.757  0.257  0.500
Ta  0.257  0.243  0.500



Entry 5:
A relaxed structure of Cs3Sn2HgBr9. Source: Alexandria via LeMat-Bulk, functional GGA-PBE.

* SG: P-3m1, No. 164
* DFT total energy: -2.87 eV/atom
* formation energy (no corrections): -1145 meV/atom

Cell lengths 8.213, 8.213, 10.070 Å; angles 90.00, 90.00, 120.00 degrees
Positions (direct):
Cs  0.333  0.667  0.662
Cs  0.000  0.000  0.000
Cs  0.667  0.333  0.338
Sn  0.333  0.667  0.172
Sn  0.667  0.333  0.828
Hg  0.000  0.000  0.500
Br  0.836  0.164  0.665
Br  0.836  0.671  0.665
Br  0.329  0.164  0.665
Br  0.671  0.836  0.335
Br  0.164  0.329  0.335
Br  0.164  0.836  0.335
Br  0.500  0.000  0.000
Br  0.000  0.500  0.000
Br  0.500  0.500  0.000



Entry 6:
A relaxed structure of YSi2Cl. Source: Alexandria via LeMat-Bulk, functional GGA-PBE.

* E above lowest polymorph: 0.224 eV/atom
* SG: Cm, No. 8
* DFT total energy: -5.41 eV/atom
* formation energy (no corrections): -619 meV/atom

Cell lengths 5.329, 5.329, 7.279 Å; angles 51.95, 51.95, 41.64 degrees
Positions (direct):
Cl  0.807  0.807  0.633
Si  0.905  0.905  0.013
Si  0.266  0.266  0.228
Y  0.522  0.522  0.626



> Which value of DFT total energy does entry 4 give?

-7.92 eV/atom